1.
Mn4Cu3 | PBE | optimized geometry

The calculation puts the total magnetic moment at 0.78 μB per formula unit. As for the energy above the lowest structure with this stoichiometry: 0.0 meV/atom. The formation energy comes out at 0.101 eV per atom. The calculation puts the uncorrected energy at -6.8942 eV/atom.

The structure belongs to space group I4/mmm (No. 139); the cell edges are 3.048, 3.048 and 18.928 Å and the angles 90.00°, 90.00° and 90.00°. The distinct sites, in fractional coordinates, are Mn at (0.000, 0.000, 0.074), Mn at (0.000, 0.000, 0.359), Cu at (0.000, 0.000, 0.216) and Cu at (0.000, 0.000, 0.500).

=====

2.
VAuSe2 | PBE | optimized geometry

The calculation puts the total magnetic moment at 0.00 μB per formula unit. The calculation puts the uncorrected energy at -5.2457 eV/atom.

The structure belongs to space group R-3m (No. 166, hexagonal axes); the cell edges are 3.3544, 3.3544 and 24.3745 Å and the angles 90.00°, 90.00° and 120.00°. The distinct sites, in fractional coordinates, are V at (0.0000, 0.0000, 0.0000), Au at (0.0000, 0.0000, 0.5000) and Se at (0.0000, 0.0000, 0.3970).